1.
DFT (meta-GGA SCAN) results for CsVMo2O8 at its PBEsol-relaxed geometry.

Properties
As for the symmetry: No. 164. The calculation puts the density of states at the Fermi level at 2.92 states/eV per cell. The calculation puts the total energy at -16.90 eV/atom.

a = 5.665 Å, b = 5.665 Å, c = 7.910 Å
α = 90.00°, β = 90.00°, γ = 120.00°
Site moments in Bohr magnetons follow the coordinates.
Fractional positions:
Cs1 0.000 0.000 0.000  0.00
O1 0.333 0.667 0.068  0.03
O2 0.161 0.322 0.358  -0.02
O3 0.839 0.161 0.642  -0.02
O4 0.678 0.839 0.358  -0.02
O5 0.839 0.678 0.642  -0.02
O6 0.161 0.839 0.358  -0.02
O7 0.667 0.333 0.932  0.03
O8 0.322 0.161 0.642  -0.02
Mo1 0.667 0.333 0.713  0.14
Mo2 0.333 0.667 0.287  0.14
V1 0.000 0.000 0.500  1.66

2.
DFT (meta-GGA SCAN) results for RbPbIO2 at its PBEsol-relaxed geometry.

Properties
As for the symmetry: No. 123. The calculation puts the density of states at the Fermi level at 1.91 states/eV per cell. The calculation puts the total energy at -29.75 eV/atom.

a = 4.507 Å, b = 4.507 Å, c = 6.146 Å
α = 90.00°, β = 90.00°, γ = 90.00°
Site moments in Bohr magnetons follow the coordinates.
Fractional positions:
Rb1 0.500 0.500 0.500  0.00
O1 0.000 0.500 0.000  0.19
O2 0.500 0.000 0.000  0.19
I1 0.000 0.000 0.500  -0.01
Pb1 0.000 0.000 0.000  -0.02

3.
DFT (meta-GGA SCAN) results for VO2F at its PBEsol-relaxed geometry.

Properties
As for the symmetry: No. 9. The calculation puts the density of states at the Fermi level at 0.00 states/eV per cell. The calculation puts the total energy at -11.00 eV/atom.

a = 5.108 Å, b = 5.216 Å, c = 5.186 Å
α = 119.92°, β = 90.00°, γ = 119.32°
Fractional positions:
V1 0.233 0.995 0.202
V2 0.762 0.995 0.702
F1 0.392 0.843 0.823
F2 0.451 0.843 0.323
O1 0.523 0.414 0.391
O2 0.017 0.990 0.448
O3 0.891 0.414 0.891
O4 0.974 0.990 0.948

4.
DFT (meta-GGA SCAN) results for FePt2Rh at its PBEsol-relaxed geometry.

Properties
As for the symmetry: No. 139. Its energy of formation from the pure elements is -287 meV/atom. The calculation puts the density of states at the Fermi level at 2.79 states/eV per cell.

a = 3.810 Å, b = 3.810 Å, c = 4.674 Å
α = 114.05°, β = 114.05°, γ = 90.00°
Site moments in Bohr magnetons follow the coordinates.
Fractional positions:
Pt1 0.250 0.750 0.500  0.40
Pt2 0.750 0.250 0.500  0.40
Rh1 0.500 0.500 0.000  0.95
Fe1 0.000 0.000 0.000  3.41

5.
DFT (meta-GGA SCAN) results for MnAgAu2 at its PBEsol-relaxed geometry.

Properties
As for the symmetry: No. 123. Its energy of formation from the pure elements is -238 meV/atom. The calculation puts the density of states at the Fermi level at 1.41 states/eV per cell.

a = 3.758 Å, b = 4.167 Å, c = 4.167 Å
α = 90.00°, β = 90.00°, γ = 90.00°
Site moments in Bohr magnetons follow the coordinates.
Fractional positions:
Ag1 0.500 0.000 0.000  0.02
Au1 0.000 0.500 0.000  0.05
Au2 0.000 0.000 0.500  0.05
Mn1 0.500 0.500 0.500  4.32

6.
DFT (meta-GGA SCAN) results for LaReHg2 at its PBEsol-relaxed geometry.

Properties
As for the symmetry: No. 139. Its energy of formation from the pure elements is 353 meV/atom. The calculation puts the density of states at the Fermi level at 3.11 states/eV per cell. For the polymorph energy (0 for the lowest one), the calculation gives 0.006 eV/atom.

a = 4.313 Å, b = 4.313 Å, c = 5.475 Å
α = 113.20°, β = 113.20°, γ = 90.00°
Site moments in Bohr magnetons follow the coordinates.
Fractional positions:
Re1 0.000 0.000 0.000  0.69
Hg1 0.250 0.750 0.500  0.00
Hg2 0.750 0.250 0.500  0.00
La1 0.500 0.500 0.000  -0.01

7.
DFT (meta-GGA SCAN) results for CdSb2Cl at its PBEsol-relaxed geometry.

Properties
As for the symmetry: No. 47. The calculation puts the density of states at the Fermi level at 1.86 states/eV per cell. For the polymorph energy (0 for the lowest one), the calculation gives 0.226 eV/atom.

a = 3.289 Å, b = 5.148 Å, c = 5.696 Å
α = 90.00°, β = 90.00°, γ = 90.00°
Fractional positions:
Cd1 0.500 0.500 0.000
Cl1 0.000 0.500 0.500
Sb1 0.500 0.000 0.500
Sb2 0.000 0.000 0.000

8.
DFT (meta-GGA SCAN) results for NbHgTe3 at its PBEsol-relaxed geometry.

Properties
As for the symmetry: No. 221. The calculation puts the density of states at the Fermi level at 4.37 states/eV per cell. The calculation puts the total energy at -41.60 eV/atom.

a = 5.415 Å, b = 5.415 Å, c = 5.415 Å
α = 90.00°, β = 90.00°, γ = 90.00°
Site moments in Bohr magnetons follow the coordinates.
Fractional positions:
Hg1 0.000 0.000 0.000  0.00
Te1 0.500 0.000 0.000  -0.35
Te2 0.000 0.000 0.500  -0.35
Te3 0.000 0.500 0.000  -0.35
Nb1 0.500 0.500 0.500  2.57